Density functional theory data (PBE) for an optimized crystal structure of In2HgTe2.

Its density is 7.68 Mg/m³. Its formation energy from raw total energies is -0.13 eV per atom.

Cell lengths 8.570, 8.570, 4.038 Å; angles 90.00, 90.00, 90.00 degrees
Fractional positions:
In: 0.148 0.352 0.000
In: 0.352 0.852 0.000
In: 0.648 0.148 0.000
In: 0.852 0.648 0.000
Hg: 0.000 0.000 0.000
Hg: 0.500 0.500 0.000
Te: 0.155 0.655 0.500
Te: 0.345 0.155 0.500
Te: 0.655 0.845 0.500
Te: 0.845 0.345 0.500